# 1
Material: LiIn5Ni
Method: DFT, PBE
State: relaxed

ΔH_f (0 K) = -0.13 eV per atom
volume = 22.17 Å³/atom
N(E_F) = 1.8 states/eV per cell

Lattice parameters (Å, degrees): 4.5408 4.5408 7.5275 90.00 90.00 90.00
Last column: nearest neighbours and their distance in Å.
Fractional coordinates of all 7 atoms:
1 Li 0.0000 0.0000 0.0000  12 In 3.19-3.21
2 In 0.5000 0.0000 0.7028  2 Ni 2.74, 1 In 3.05
3 In 0.0000 0.5000 0.7028  2 Ni 2.74, 1 In 3.05
4 In 0.5000 0.5000 0.0000  8 In 3.19, 4 Li 3.21
5 In 0.0000 0.5000 0.2972  2 Ni 2.74, 1 In 3.05
6 In 0.5000 0.0000 0.2972  2 Ni 2.74, 1 In 3.05
7 Ni 0.0000 0.0000 0.5000  8 In 2.74

---

# 2
Material: Li5In6Ni
Method: DFT, PBE
State: relaxed

ΔH_f (0 K) = -0.24 eV per atom
volume = 18.78 Å³/atom
N(E_F) = 4.5 states/eV per cell

Lattice parameters (Å, degrees): 4.5935 7.1214 7.2681 90.00 71.46 90.00
Last column: nearest neighbours and their distance in Å.
Fractional coordinates of all 12 atoms:
1 Ni 0.0000 0.0000 0.0000  8 In 2.81-2.84
2 Li 0.6710 0.5000 0.6594  8 In 2.96-3.01, 4 Li 3.17-3.28
3 Li 0.3330 0.0000 0.3330  8 In 2.84-2.91
4 Li 0.0000 0.5000 0.0000  8 In 2.91-2.97
5 Li 0.6670 0.0000 0.6670  8 In 2.84-2.91
6 Li 0.3290 0.5000 0.3406  8 In 2.96-3.01, 4 Li 3.17-3.28
7 In 0.8371 0.7612 0.3238  1 Ni 2.81, 7 Li 2.86-2.97
8 In 0.8371 0.2388 0.3238  1 Ni 2.81, 7 Li 2.86-2.97
9 In 0.5000 0.2351 0.0000  6 Li 2.84-3.01, 2 Ni 2.84
10 In 0.5000 0.7649 0.0000  6 Li 2.84-3.01, 2 Ni 2.84
11 In 0.1629 0.7612 0.6762  1 Ni 2.81, 7 Li 2.86-2.97
12 In 0.1629 0.2388 0.6762  1 Ni 2.81, 7 Li 2.86-2.97

---

# 3
Material: Li2InNi2
Method: DFT, PBE
State: relaxed

ΔH_f (0 K) = 0.15 eV per atom
volume = 14.86 Å³/atom
offset from the most stable computed form = 148 meV per atom
N(E_F) = 2.5 states/eV per cell

Lattice parameters (Å, degrees): 3.5095 3.5095 6.5229 74.39 74.39 90.00
Last column: nearest neighbours and their distance in Å.
Fractional coordinates of all 5 atoms:
1 Ni 0.4033 0.4033 0.1934  1 Ni 2.33, 4 Li 2.55
2 Ni 0.5967 0.5967 0.8066  1 Ni 2.33, 4 Li 2.55
3 Li 0.7500 0.2500 0.5000  4 Li 2.48, 4 Ni 2.55
4 Li 0.2500 0.7500 0.5000  4 Li 2.48, 4 Ni 2.55
5 In 0.0000 0.0000 0.0000  8 Ni 2.74

---

# 4
Material: Li2In4Ni
Method: DFT, PBE
State: relaxed

ΔH_f (0 K) = -0.12 eV per atom
volume = 19.33 Å³/atom
N(E_F) = 3.4 states/eV per cell

Lattice parameters (Å, degrees): 5.6027 5.6027 5.6027 108.04 110.19 110.19
Last column: nearest neighbours and their distance in Å.
Fractional coordinates of all 7 atoms:
1 Li 0.5000 0.5000 0.0000  8 In 2.80
2 Li 0.5000 0.0000 0.5000  8 In 2.80
3 In 0.5000 0.0000 0.0000  4 Li 2.80, 2 Ni 2.80
4 In 0.5000 0.5000 0.5000  4 Li 2.80, 2 Ni 2.80
5 In 0.0000 0.0000 0.5000  4 Li 2.80, 2 Ni 2.80
6 In 0.0000 0.5000 0.0000  2 Ni 2.80, 4 Li 2.80
7 Ni 0.0000 0.0000 0.0000  8 In 2.80

---

# 5
Material: Li6InNi2
Method: DFT, PBE
State: relaxed

ΔH_f (0 K) = 0.04 eV per atom
volume = 16.67 Å³/atom
N(E_F) = 4.8 states/eV per cell

Lattice parameters (Å, degrees): 4.3846 4.3846 9.3621 76.46 76.46 60.00
Last column: nearest neighbours and their distance in Å.
Fractional coordinates of all 9 atoms:
1 Li 0.5728 0.5728 0.2816  3 Ni 2.53, 3 Li 2.83
2 Li 0.8118 0.8118 0.5646  1 Ni 2.58, 7 Li 2.65-2.89
3 Li 0.7138 0.7138 0.8586  4 Li 2.65-2.83, 3 Ni 2.82, 3 In 2.83
4 Li 0.1882 0.1882 0.4354  1 Ni 2.58, 7 Li 2.65-2.89
5 Li 0.4272 0.4272 0.7184  3 Ni 2.53, 3 Li 2.83
6 Li 0.2862 0.2862 0.1414  4 Li 2.65-2.83, 3 Ni 2.82, 3 In 2.83
7 In 0.0000 0.0000 0.0000  2 Ni 2.51
8 Ni 0.9072 0.9072 0.2785  1 In 2.51, 4 Li 2.53-2.58
9 Ni 0.0928 0.0928 0.7215  1 In 2.51, 4 Li 2.53-2.58

---

# 6
Material: Li2InNi2
Method: DFT, PBE
State: relaxed

ΔH_f (0 K) = 0.00 eV per atom
volume = 14.16 Å³/atom
offset from the most stable computed form = 0 meV per atom
N(E_F) = 5.4 states/eV per cell

Lattice parameters (Å, degrees): 6.7630 6.7630 3.0960 90.00 90.00 90.00
Last column: nearest neighbours and their distance in Å.
Fractional coordinates of all 10 atoms:
1 Ni 0.3740 0.8740 0.0000  1 Ni 2.41, 6 Li 2.51-2.53, 2 In 2.67
2 Ni 0.8740 0.6260 0.0000  1 Ni 2.41, 6 Li 2.51-2.53, 2 In 2.67
3 Ni 0.6260 0.1260 0.0000  1 Ni 2.41, 6 Li 2.51-2.53, 2 In 2.67
4 Ni 0.1260 0.3740 0.0000  1 Ni 2.41, 6 Li 2.51-2.53, 2 In 2.67
5 Li 0.1668 0.6668 0.5000  6 Ni 2.51-2.53
6 Li 0.6668 0.8332 0.5000  6 Ni 2.51-2.53
7 Li 0.8332 0.3332 0.5000  6 Ni 2.51-2.53
8 Li 0.3332 0.1668 0.5000  6 Ni 2.51-2.53
9 In 0.0000 0.0000 0.0000  4 Ni 2.67, 8 Li 2.96
10 In 0.5000 0.5000 0.0000  4 Ni 2.67, 8 Li 2.96

---

# 7
Material: Li2InNi
Method: DFT, PBE
State: relaxed

ΔH_f (0 K) = 0.14 eV per atom
volume = 16.80 Å³/atom
N(E_F) = 3.4 states/eV per cell

Lattice parameters (Å, degrees): 8.9197 8.9197 8.9197 19.22 19.22 19.22
Last column: nearest neighbours and their distance in Å.
Fractional coordinates of all 4 atoms:
1 In 0.7500 0.7500 0.7500  6 In 2.98, 6 Li 3.02
2 Li 0.9889 0.9889 0.9889  3 Ni 2.56
3 Li 0.5111 0.5111 0.5111  3 Ni 2.56
4 Ni 0.2500 0.2500 0.2500  6 Li 2.56